# 1
Computed, not measured: a PBEsol-optimized structure of ScTa2Hg at the meta-GGA SCAN level of DFT.

Lattice parameters (Å, degrees): 3.339 4.568 5.737 113.46 106.92 90.00
Fractional positions:
Sc 0.000 0.500 0.000
Hg 0.500 0.000 0.000
Ta 0.758 0.758 0.517
Ta 0.242 0.242 0.483

## Properties
Energy of formation, eV/atom: 0.0669
Crystal system: orthorhombic



# 2
Computed, not measured: a PBEsol-optimized structure of RbGaPCl2 at the meta-GGA SCAN level of DFT.

Lattice parameters (Å, degrees): 4.681 5.206 5.206 90.00 90.00 90.00
Last column: magnetic moment on the atom in μB.
Fractional positions:
Ga 0.000 0.000 0.000  -0.01
Cl 0.000 0.000 0.500  0.07
Cl 0.000 0.500 0.000  0.07
P 0.500 0.000 0.000  0.54
Rb 0.500 0.500 0.500  0.01

## Properties
E_form (uncorrected), meV per atom: -753
Crystal system: tetragonal



# 3
Computed, not measured: a PBEsol-optimized structure of CuAgAs2 at the meta-GGA SCAN level of DFT.

Lattice parameters (Å, degrees): 2.759 2.759 8.820 90.00 90.00 90.00
Fractional positions:
As 0.000 0.000 0.968
As 0.500 0.500 0.308
Cu 0.000 0.000 0.502
Ag 0.500 0.500 0.722

## Properties
Energy of formation, eV/atom: 0.1660
Crystal system: tetragonal



# 4
Computed, not measured: a PBEsol-optimized structure of Sb2NO at the meta-GGA SCAN level of DFT.

Lattice parameters (Å, degrees): 5.511 5.511 6.306 115.91 115.91 90.00
Fractional positions:
Sb 0.864 0.375 0.250
Sb 0.125 0.136 0.750
Sb 0.625 0.614 0.750
Sb 0.386 0.875 0.250
N 0.500 0.500 0.000
N 0.750 0.250 0.500
O 0.000 0.000 0.000
O 0.250 0.750 0.500

## Properties
E_form (uncorrected), meV per atom: 305
Crystal system: tetragonal